1.
The following is a GGA-PBE calculation of a relaxed Li2TcPt crystal, from Alexandria via LeMat-Bulk.

a b c (Å): 3.651 3.651 8.743
angles (deg): 90.00 90.00 90.00
Space group I4/mmm (No. 139)
Asymmetric unit:
Li1 0.000 0.500 0.250 [4 per cell]
Tc1 0.000 0.000 0.000 [2 per cell]
Pt1 0.000 0.000 0.500 [2 per cell]

M_tot in μB/atom: 0.000
Energy of formation in eV/atom: 0.099
D(E_F) in states/eV/atom: 0.9145
Calculated volume in Å³/cell: 116.53
Relative energy among the computed polymorphs in meV per atom: 226


2.
The following is a GGA-PBE calculation of a relaxed Ca2AgPt2 crystal, from Alexandria via LeMat-Bulk.

a b c (Å): 8.395 8.395 3.106
angles (deg): 90.00 90.00 90.00
Space group P4/mbm (No. 127)
Asymmetric unit:
Ca1 0.151 0.349 0.000 [4 per cell]
Ag1 0.000 0.000 0.000 [2 per cell]
Pt1 0.145 0.645 0.500 [4 per cell]

M_tot in μB/atom: 0.001
Energy of formation in eV/atom: -0.445
D(E_F) in states/eV/atom: 0.2790
Calculated volume in Å³/cell: 218.91
Relative energy among the computed polymorphs in meV per atom: 330


3.
The following is a GGA-PBE calculation of a relaxed Ba3Pt8Au crystal, from Alexandria via LeMat-Bulk.

a b c (Å): 5.6260 5.6260 27.4052
angles (deg): 90.00 90.00 120.00
Space group R3m (No. 160, hexagonal axes)
Asymmetric unit:
Ba1 0.0000 0.0000 0.0000 [3 per cell]
Ba2 0.0000 0.0000 0.1275 [3 per cell]
Ba3 0.0000 0.0000 0.6185 [3 per cell]
Pt1 0.0000 0.0000 0.3120 [3 per cell]
Pt2 0.0000 0.0000 0.8125 [3 per cell]
Pt3 0.0030 0.5015 0.0644 [9 per cell]
Pt4 0.1672 0.3345 0.8932 [9 per cell]
Au1 0.0000 0.0000 0.4945 [3 per cell]

M_tot in μB/atom: 0.000
Energy of formation in eV/atom: -0.544
D(E_F) in states/eV/atom: 0.8926
Calculated volume in Å³/cell: 751.21


4.
The following is a GGA-PBE calculation of a relaxed YThS4 crystal, from Alexandria via LeMat-Bulk.

a b c (Å): 6.762 6.696 6.839
angles (deg): 90.00 93.25 90.00
Space group P2_1/c (No. 14)
Asymmetric unit:
Y1 0.000 0.000 0.000 [2 per cell]
Th1 0.500 0.000 0.500 [2 per cell]
S1 0.124 0.126 0.628 [4 per cell]
S2 0.355 0.643 0.647 [4 per cell]

M_tot in μB/atom: 0.166
D(E_F) in states/eV/atom: 0.1903
Calculated volume in Å³/cell: 309.17
E_form (uncorrected) in eV per atom: -1.572


5.
The following is a GGA-PBE calculation of a relaxed Tb2PmNdSb4 crystal, from Alexandria via LeMat-Bulk.

a b c (Å): 7.714 4.459 7.719
angles (deg): 90.00 109.48 90.00
Space group P2/m (No. 10)
Asymmetric unit:
Tb1 0.000 0.000 0.000 [1 per cell]
Tb2 0.000 0.500 0.500 [1 per cell]
Pm1 0.500 0.000 0.500 [1 per cell]
Nd1 0.500 0.500 0.000 [1 per cell]
Sb1 0.243 0.000 0.747 [2 per cell]
Sb2 0.243 0.500 0.249 [2 per cell]

M_tot in μB/atom: 0.000
D(E_F) in states/eV/atom: 0.1318
Calculated volume in Å³/cell: 250.29
E_form (uncorrected) in eV per atom: -1.167


6.
The following is a GGA-PBE calculation of a relaxed MgRe crystal, from Alexandria via LeMat-Bulk.

a b c (Å): 3.033 16.090 3.049
angles (deg): 90.00 90.00 90.00
Space group Cmcm (No. 63)
Asymmetric unit:
Mg1 0.000 0.088 0.250 [4 per cell]
Re1 0.000 0.294 0.250 [4 per cell]

M_tot in μB/atom: 0.000
Energy of formation in eV/atom: 0.157
D(E_F) in states/eV/atom: 0.5107
Calculated volume in Å³/cell: 148.78
Relative energy among the computed polymorphs in meV per atom: 90